VASP calculation (GGA+U) on an optimized crystal structure of PuCo2PdO8.

Computed properties:
- Mass density: 6.7 Mg/m³
- Total energy: -81.2 eV for the cell shown

The structure in extended XYZ format:
```
12
Lattice="-3.304 3.304 3.388 3.304 -3.304 3.388 3.304 3.304 -3.388" Properties=species:S:1:pos:R:3 pbc="T T T"
Pu 0.000 0.000 0.000
Co 0.000 0.000 3.388
Co 0.000 3.304 1.694
Pd 3.304 0.000 1.694
O 2.037 3.304 -1.337
O 1.267 0.000 2.051
O 0.000 1.936 0.409
O 3.304 2.037 1.337
O 0.000 4.672 0.409
O 0.000 1.267 4.725
O -1.368 3.304 2.978
O 1.368 3.304 2.978
```